No. 1
VASP calculation (PBE) on a relaxed structure of HgBi3Pt.

Cell: 7.1969 7.1969 7.8234 Å, 62.62 62.62 60.00°
Positions (direct):
Bi: 0.4032 0.9129 0.2812
Bi: 0.9129 0.4028 0.2812
Bi: 0.0871 0.5968 0.7188
Bi: 0.4028 0.4032 0.2812
Bi: 0.5968 0.5972 0.7188
Bi: 0.5972 0.0871 0.7188
Hg: 0.9210 0.9210 0.2370
Hg: 0.0790 0.0790 0.7630
Pt: 0.3376 0.3376 0.9871
Pt: 0.6624 0.6624 0.0129

Properties
- Total moment: 0.000 μB per atom
- E_tot: -3.63 eV/atom
- Formation energy: -3.3 kJ per mole of atoms
- DOS at the Fermi energy: 4.72 states/eV/cell


No. 2
VASP calculation (PBE) on a relaxed structure of MgSb2RuPt.

Cell: 5.1869 4.9467 5.1869 Å, 90.00 90.00 90.00°
Last column: magnetic moment on the atom in μB.
Positions (direct):
Mg: 0.5000 0.5000 0.5000  -0.01
Pt: 0.0000 0.0000 0.0000  0.09
Ru: 0.0000 0.5000 0.0000  0.59
Sb: 0.5000 0.0000 0.0000  0.01
Sb: 0.0000 0.0000 0.5000  0.00

Properties
- Total moment: 0.146 μB per atom
- Uncorrected formation energy: 0.7891 eV per atom
- E_tot: -4.24 eV/atom
- DOS at the Fermi energy: 6.73 states/eV/cell


No. 3
VASP calculation (PBE) on a relaxed structure of Tm5BiS4.

Cell: 3.9452 6.8513 8.9295 Å, 75.24 77.24 73.27°
Positions (direct):
S: 0.2056 0.3788 0.2099
S: 0.4071 0.7888 0.3970
S: 0.7944 0.6212 0.7901
S: 0.5929 0.2112 0.6030
Tm: 0.6094 0.6587 0.1225
Tm: 0.3906 0.3413 0.8775
Tm: 0.7907 0.0960 0.3226
Tm: 0.0000 0.5000 0.5000
Tm: 0.2093 0.9040 0.6774
Bi: 0.0000 0.0000 0.0000

Properties
- Total moment: 0.000 μB per atom
- Uncorrected formation energy: -1.6330 eV per atom
- E_tot: -5.91 eV/atom
- DOS at the Fermi energy: 2.96 states/eV/cell


No. 4
VASP calculation (PBE) on a relaxed structure of SrTmCuTe3.

Cell: 4.3276 9.0651 9.7143 Å, 104.05 90.00 90.00°
Positions (direct):
Sr: 0.7500 0.8131 0.7517
Sr: 0.2500 0.1869 0.2483
Tm: 0.7500 0.3257 0.8369
Tm: 0.2500 0.6743 0.1631
Cu: 0.7500 0.9259 0.4223
Cu: 0.2500 0.0741 0.5777
Te: 0.2500 0.5629 0.8354
Te: 0.7500 0.9001 0.1365
Te: 0.7500 0.4371 0.1646
Te: 0.2500 0.7713 0.4806
Te: 0.2500 0.0999 0.8635
Te: 0.7500 0.2287 0.5194

Properties
- Total moment: 0.000 μB per atom
- Uncorrected formation energy: -1.1795 eV per atom
- E_tot: -4.46 eV/atom
- DOS at the Fermi energy: 0.05 states/eV/cell


No. 5
VASP calculation (PBE) on a relaxed structure of Os3Cl.

Cell: 4.3865 4.3865 4.3865 Å, 60.00 60.00 60.00°
Positions (direct):
Os: 0.7500 0.7500 0.7500
Os: 0.2500 0.2500 0.2500
Os: 0.5000 0.5000 0.5000
Cl: 0.0000 0.0000 0.0000

Properties
- Total moment: 0.000 μB per atom
- Uncorrected formation energy: 1.3215 eV per atom
- E_tot: -7.56 eV/atom
- DOS at the Fermi energy: 4.73 states/eV/cell


No. 6
VASP calculation (PBE) on a relaxed structure of Al5Sb3S12.

Cell: 12.9793 12.9793 12.9793 Å, 109.47 109.47 109.47°
Positions (direct):
Al: 0.0000 0.5000 0.0000
Al: 0.5000 0.5000 0.5000
Al: 0.3750 0.2500 0.1250
Al: 0.1250 0.7500 0.3750
Al: 0.2500 0.8750 0.1250
Al: 0.7500 0.1250 0.8750
Al: 0.0000 0.5000 0.5000
Al: 0.0000 0.0000 0.0000
Al: 0.8750 0.6250 0.7500
Al: 0.1250 0.3750 0.2500
Al: 0.2500 0.3750 0.6250
Al: 0.6250 0.7500 0.8750
Al: 0.8750 0.2500 0.6250
Al: 0.5000 0.0000 0.0000
Al: 0.5000 0.0000 0.5000
Al: 0.0000 0.0000 0.5000
Al: 0.6250 0.8750 0.2500
Al: 0.3750 0.1250 0.7500
Al: 0.5000 0.5000 0.0000
Al: 0.7500 0.6250 0.3750
S: 0.7056 0.1206 0.0282
S: 0.9076 0.8226 0.5282
S: 0.0282 0.6206 0.7056
S: 0.4150 0.1206 0.5924
S: 0.9718 0.3794 0.2944
S: 0.8794 0.2944 0.4718
S: 0.6774 0.2056 0.5850
S: 0.7056 0.5850 0.1774
S: 0.4076 0.0282 0.3226
S: 0.3226 0.7944 0.4150
S: 0.4718 0.6774 0.0924
S: 0.0850 0.1774 0.2056
S: 0.5850 0.7056 0.6774
S: 0.3794 0.4076 0.0850
S: 0.4718 0.7944 0.8794
S: 0.4150 0.2944 0.3226
S: 0.1774 0.0850 0.7056
S: 0.5924 0.9718 0.6774
S: 0.0924 0.1774 0.4718
S: 0.9718 0.5924 0.1774
S: 0.9076 0.0850 0.8794
S: 0.5850 0.8794 0.4076
S: 0.4076 0.3794 0.5850
S: 0.9150 0.8226 0.7944
S: 0.8226 0.9150 0.2944
S: 0.6206 0.5924 0.9150
S: 0.1206 0.7056 0.5282
S: 0.2056 0.6774 0.0850
S: 0.5282 0.3226 0.9076
S: 0.3226 0.5282 0.4076
S: 0.3794 0.9718 0.7944
S: 0.5924 0.6206 0.4150
S: 0.2944 0.8794 0.9718
S: 0.0282 0.4076 0.8226
S: 0.7944 0.4718 0.3794
S: 0.7944 0.3226 0.9150
S: 0.1206 0.4150 0.0924
S: 0.6774 0.4718 0.5924
S: 0.2056 0.5282 0.6206
S: 0.5282 0.2056 0.1206
S: 0.0924 0.9150 0.1206
S: 0.8226 0.9076 0.0282
S: 0.9150 0.0924 0.6206
S: 0.6206 0.0282 0.2056
S: 0.1774 0.0924 0.9718
S: 0.0850 0.9076 0.3794
S: 0.2944 0.4150 0.8226
S: 0.8794 0.5850 0.9076
Sb: 0.1250 0.8750 0.7500
Sb: 0.6250 0.2500 0.3750
Sb: 0.7500 0.8750 0.6250
Sb: 0.1250 0.2500 0.8750
Sb: 0.3750 0.6250 0.2500
Sb: 0.3750 0.7500 0.6250
Sb: 0.8750 0.1250 0.2500
Sb: 0.2500 0.6250 0.8750
Sb: 0.7500 0.3750 0.1250
Sb: 0.2500 0.1250 0.3750
Sb: 0.8750 0.7500 0.1250
Sb: 0.6250 0.3750 0.7500

Properties
- Total moment: 0.000 μB per atom
- Uncorrected formation energy: -0.6839 eV per atom
- E_tot: -4.71 eV/atom
- DOS at the Fermi energy: 0.00 states/eV/cell